A plane-wave DFT calculation with PBE was carried out for a geometry-optimized Th8Fe2Ir structure.

Calculated values
SG: Cm, No. 8
E in eV per cell: -86.1

a = 7.723 Å, b = 7.723 Å, c = 6.183 Å
α = 100.13°, β = 100.13°, γ = 119.22°
Fractional coordinates of all 11 atoms:
Th  0.000  0.000  0.000
Th  0.126  0.540  0.176
Th  0.252  0.991  0.570
Th  0.461  0.725  0.792
Th  0.540  0.126  0.176
Th  0.713  0.713  0.365
Th  0.725  0.461  0.792
Th  0.991  0.252  0.570
Fe  0.077  0.672  0.687
Fe  0.672  0.077  0.687
Ir  0.358  0.358  0.400